(1)
Entry from Alexandria via LeMat-Bulk: a relaxed structure of TmZrGe (PBE).

Properties
SG ... Fmm2 (42)
Density ... 8.08 g/cm³
N(E_F) ... 1.77 states/eV/f.u.
Electronic total energy ... -18.8 eV/cell

abc: 3.491 3.491 6.118
angles: 103.91 103.91 99.05
Atoms (fractional coordinates):
Ge 0.325 0.325 0.649
Zr 0.687 0.687 0.374
Tm 0.988 0.988 0.977

***

(2)
Entry from Alexandria via LeMat-Bulk: a relaxed structure of HfSb3N (PBE).

Properties
SG ... Pm-3m (221)
Density ... 5.56 g/cm³
N(E_F) ... 3.61 states/eV/f.u.
Formation energy without anion corrections ... 1201 meV per atom

abc: 5.503 5.503 5.503
angles: 90.00 90.00 90.00
Each line ends with the local moment (μB).
Atoms (fractional coordinates):
Hf 0.000 0.000 0.000  0.03
Sb 0.000 0.000 0.500  -0.08
N 0.500 0.500 0.500  1.76
Sb 0.500 0.000 0.000  -0.03
Sb 0.000 0.500 0.000  -0.03

***

Result set for V: 22.80 33.33 Å³ per atom, one per record in the order listed.